[1]
# Sm3Tm3Tl2 (PBE, optimized geometry)
# **E above lowest polymorph**: 0 meV/atom
# **E_form**: -0.1773 eV per atom
# **SG**: Pmmm (47)
data_Sm3Tm3Tl2
_chemical_formula_sum 'Sm3 Tm3 Tl2'
_space_group_name_H-M_alt 'P 1'
_space_group_IT_number 1
_cell_length_a 4.836
_cell_length_b 4.856
_cell_length_c 9.822
_cell_angle_alpha 90.00
_cell_angle_beta 90.00
_cell_angle_gamma 90.00
loop_
_space_group_symop_operation_xyz
'x,y,z'
loop_
_atom_site_label
_atom_site_fract_x
_atom_site_fract_y
_atom_site_fract_z
Tm1 0.500 0.000 0.000
Tm2 0.500 0.500 0.752
Tm3 0.500 0.500 0.248
Sm1 0.500 0.000 0.500
Sm2 0.000 0.500 0.500
Sm3 0.000 0.500 0.000
Tl1 0.000 0.000 0.753
Tl2 0.000 0.000 0.247

[2]
# Mg3SiNi9B2 (PBE, optimized geometry)
# **E**: -79.08 eV per cell
# **SG**: P-3m1 (164)
data_Mg3SiNi9B2
_chemical_formula_sum 'Mg3 Si1 Ni9 B2'
_space_group_name_H-M_alt 'P 1'
_space_group_IT_number 1
_cell_length_a 5.263
_cell_length_b 5.263
_cell_length_c 7.929
_cell_angle_alpha 90.00
_cell_angle_beta 90.00
_cell_angle_gamma 120.00
loop_
_space_group_symop_operation_xyz
'x,y,z'
loop_
_atom_site_label
_atom_site_fract_x
_atom_site_fract_y
_atom_site_fract_z
Ni1 0.841 0.681 0.719
Ni2 0.159 0.319 0.281
Ni3 0.000 0.500 0.000
Ni4 0.500 0.000 0.000
Ni5 0.681 0.841 0.281
Ni6 0.159 0.841 0.281
Ni7 0.500 0.500 0.000
Ni8 0.841 0.159 0.719
Ni9 0.319 0.159 0.719
Mg1 0.667 0.333 0.383
Mg2 0.000 0.000 0.000
Mg3 0.333 0.667 0.617
B1 0.667 0.333 0.849
B2 0.333 0.667 0.151
Si1 0.000 0.000 0.500

[3]
# Ba2PdSe (PBE, optimized geometry)
# **E**: -17.31 eV per cell
# **SG**: R-3m (166)
data_Ba2PdSe
_chemical_formula_sum 'Ba2 Pd1 Se1'
_space_group_name_H-M_alt 'P 1'
_space_group_IT_number 1
_cell_length_a 4.675
_cell_length_b 4.675
_cell_length_c 8.206
_cell_angle_alpha 73.45
_cell_angle_beta 73.45
_cell_angle_gamma 60.00
loop_
_space_group_symop_operation_xyz
'x,y,z'
loop_
_atom_site_label
_atom_site_fract_x
_atom_site_fract_y
_atom_site_fract_z
Ba1 0.250 0.250 0.249
Ba2 0.750 0.750 0.751
Se1 0.500 0.500 0.500
Pd1 0.000 0.000 0.000

[4]
# GaTcF3 (PBE, optimized geometry)
# **E**: -24.91 eV per cell
# **SG**: Pm-3m (221)
data_GaTcF3
_chemical_formula_sum 'Ga1 Tc1 F3'
_space_group_name_H-M_alt 'P 1'
_space_group_IT_number 1
_cell_length_a 4.373
_cell_length_b 4.373
_cell_length_c 4.373
_cell_angle_alpha 90.00
_cell_angle_beta 90.00
_cell_angle_gamma 90.00
loop_
_space_group_symop_operation_xyz
'x,y,z'
loop_
_atom_site_label
_atom_site_fract_x
_atom_site_fract_y
_atom_site_fract_z
Tc1 0.000 0.000 0.000
Ga1 0.500 0.500 0.500
F1 0.000 0.500 0.000
F2 0.500 0.000 0.000
F3 0.000 0.000 0.500

[5]
# KOsCl2 (PBE, optimized geometry)
# **E above lowest polymorph**: 376 meV/atom
# **SG**: P4mm (99)
data_KOsCl2
_chemical_formula_sum 'K1 Os1 Cl2'
_space_group_name_H-M_alt 'P 1'
_space_group_IT_number 1
_cell_length_a 3.510
_cell_length_b 3.510
_cell_length_c 7.633
_cell_angle_alpha 90.00
_cell_angle_beta 90.00
_cell_angle_gamma 90.00
loop_
_space_group_symop_operation_xyz
'x,y,z'
loop_
_atom_site_label
_atom_site_fract_x
_atom_site_fract_y
_atom_site_fract_z
Cl1 0.000 0.000 0.858
Cl2 0.500 0.500 0.252
Os1 0.500 0.500 0.924
K1 0.000 0.000 0.465

[6]
# Nd2HoNpSb4 (PBE, optimized geometry)
# **E**: -50.84 eV per cell
# **SG**: P2/m (10)
data_Nd2HoNpSb4
_chemical_formula_sum 'Nd2 Ho1 Np1 Sb4'
_space_group_name_H-M_alt 'P 1'
_space_group_IT_number 1
_cell_length_a 4.454
_cell_length_b 7.711
_cell_length_c 7.716
_cell_angle_alpha 109.34
_cell_angle_beta 90.00
_cell_angle_gamma 90.00
loop_
_space_group_symop_operation_xyz
'x,y,z'
loop_
_atom_site_label
_atom_site_fract_x
_atom_site_fract_y
_atom_site_fract_z
Ho1 0.500 0.500 0.000
Np1 0.000 0.000 0.000
Sb1 0.000 0.253 0.760
Sb2 0.500 0.248 0.241
Sb3 0.000 0.747 0.240
Sb4 0.500 0.752 0.759
Nd1 0.500 0.000 0.500
Nd2 0.000 0.500 0.500

[7]
# SiCl (PBE, optimized geometry)
# **E above lowest polymorph**: 696 meV/atom
# **SG**: I4/m (87)
data_SiCl
_chemical_formula_sum 'Si8 Cl8'
_space_group_name_H-M_alt 'P 1'
_space_group_IT_number 1
_cell_length_a 10.607
_cell_length_b 10.607
_cell_length_c 5.467
_cell_angle_alpha 90.00
_cell_angle_beta 90.00
_cell_angle_gamma 90.00
loop_
_space_group_symop_operation_xyz
'x,y,z'
loop_
_atom_site_label
_atom_site_fract_x
_atom_site_fract_y
_atom_site_fract_z
Cl1 0.766 0.422 0.000
Cl2 0.734 0.078 0.500
Cl3 0.922 0.734 0.500
Cl4 0.234 0.578 0.000
Cl5 0.078 0.266 0.500
Cl6 0.578 0.766 0.000
Cl7 0.422 0.234 0.000
Cl8 0.266 0.922 0.500
Si1 0.905 0.567 0.000
Si2 0.595 0.933 0.500
Si3 0.095 0.433 0.000
Si4 0.933 0.405 0.500
Si5 0.433 0.905 0.000
Si6 0.067 0.595 0.500
Si7 0.567 0.095 0.000
Si8 0.405 0.067 0.500

[8]
# TmPuCo (PBE, optimized geometry)
# **E above lowest polymorph**: 166 meV/atom
# **E_form**: 0.0929 eV per atom
# **SG**: F-43m (216)
data_TmPuCo
_chemical_formula_sum 'Tm1 Pu1 Co1'
_space_group_name_H-M_alt 'P 1'
_space_group_IT_number 1
_cell_length_a 4.620
_cell_length_b 4.620
_cell_length_c 4.620
_cell_angle_alpha 60.00
_cell_angle_beta 60.00
_cell_angle_gamma 60.00
loop_
_space_group_symop_operation_xyz
'x,y,z'
loop_
_atom_site_label
_atom_site_fract_x
_atom_site_fract_y
_atom_site_fract_z
Co1 0.250 0.250 0.250
Pu1 0.000 0.000 0.000
Tm1 0.500 0.500 0.500

[9]
# HoVOs2 (PBE, optimized geometry)
# **E above lowest polymorph**: 141 meV/atom
# **E_form**: -0.0175 eV per atom
# **SG**: Fm-3m (225)
data_HoVOs2
_chemical_formula_sum 'Ho1 V1 Os2'
_space_group_name_H-M_alt 'P 1'
_space_group_IT_number 1
_cell_length_a 4.526
_cell_length_b 4.526
_cell_length_c 4.527
_cell_angle_alpha 60.01
_cell_angle_beta 60.01
_cell_angle_gamma 60.00
loop_
_space_group_symop_operation_xyz
'x,y,z'
loop_
_atom_site_label
_atom_site_fract_x
_atom_site_fract_y
_atom_site_fract_z
Os1 0.750 0.750 0.750
Os2 0.250 0.250 0.250
Ho1 0.000 0.000 0.000
V1 0.500 0.500 0.500

[10]
# ScAl2Cd2 (PBE, optimized geometry)
# **E_form**: 0.0023 eV per atom
# **SG**: P4/mbm (127)
data_ScAl2Cd2
_chemical_formula_sum 'Sc2 Al4 Cd4'
_space_group_name_H-M_alt 'P 1'
_space_group_IT_number 1
_cell_length_a 7.857
_cell_length_b 7.857
_cell_length_c 3.335
_cell_angle_alpha 90.00
_cell_angle_beta 90.00
_cell_angle_gamma 90.00
loop_
_space_group_symop_operation_xyz
'x,y,z'
loop_
_atom_site_label
_atom_site_fract_x
_atom_site_fract_y
_atom_site_fract_z
Cd1 0.826 0.326 0.500
Cd2 0.674 0.826 0.500
Cd3 0.174 0.674 0.500
Cd4 0.326 0.174 0.500
Al1 0.625 0.125 0.000
Al2 0.125 0.375 0.000
Al3 0.875 0.625 0.000
Al4 0.375 0.875 0.000
Sc1 0.500 0.500 0.000
Sc2 0.000 0.000 0.000

[11]
# Ti2ZnMoSe (PBE, optimized geometry)
# **E**: -28.20 eV per cell
# **SG**: P4/mmm (123)
data_Ti2ZnMoSe
_chemical_formula_sum 'Ti2 Zn1 Mo1 Se1'
_space_group_name_H-M_alt 'P 1'
_space_group_IT_number 1
_cell_length_a 4.807
_cell_length_b 4.803
_cell_length_c 4.807
_cell_angle_alpha 90.00
_cell_angle_beta 90.00
_cell_angle_gamma 90.00
loop_
_space_group_symop_operation_xyz
'x,y,z'
loop_
_atom_site_label
_atom_site_fract_x
_atom_site_fract_y
_atom_site_fract_z
Se1 0.000 0.500 0.000
Ti1 0.000 0.000 0.500
Ti2 0.500 0.000 0.000
Zn1 0.500 0.500 0.500
Mo1 0.000 0.000 0.000

no.,V (Å³ per atom),total magnetic moment (μB per atom)
1,28.8,0.13
2,12.7,0.00
3,36.7,0.00
4,16.7,0.73
5,23.5,0.41
6,31.3,0.49
7,38.4,0.00
8,23.2,1.91
9,16.4,0.00
10,20.6,0.08
11,22.2,0.00